Entry w
FeRuBr, relaxed, DFT GGA-PBEsol; crystal system = cubic; volume = 47 Å³ per cell
1.0
0.0000 2.8650 2.8650
2.8650 0.0000 2.8650
2.8650 2.8650 0.0000
Fe Ru Br
1 1 1
Direct
0.0000 0.0000 0.0000 Fe
0.7500 0.7500 0.7500 Ru
0.2500 0.2500 0.2500 Br

Entry x
FeRuBr, relaxed, DFT GGA-PBEsol; crystal system = trigonal; volume = 48 Å³ per cell
1.0
3.1370 0.0000 0.0000
-1.5685 2.7167 0.0000
0.0000 0.0000 5.6208
Fe Ru Br
1 1 1
Direct
0.0000 0.0000 0.0000 Fe
0.3333 0.6667 0.7291 Ru
0.6667 0.3333 0.3480 Br

Stability ranking, top entry: entry x; the second entry is 0.467 eV/atom less favorable.